Sc2In8Cu | PBE | optimized geometry

Fermi-level density of states = 0.39 states/eV/atom
Electronic total energy = -3.7118 eV/atom

a b c (Å): 4.593 4.593 12.015
angles (deg): 90.00 90.00 90.00
Space group P4/mmm (No. 123)
Unique sites:
Sc (0.000, 0.000, 0.188)
In (0.000, 0.500, 0.000)
In (0.000, 0.500, 0.371)
In (0.500, 0.500, 0.189)
Cu (0.000, 0.000, 0.500)

***

ScIn3Cu8 | PBE | optimized geometry

Fermi-level density of states = 0.13 states/eV/atom
Electronic total energy = -4.0853 eV/atom
E above lowest polymorph = 0 meV/atom

a b c (Å): 5.0216 5.0216 24.9002
angles (deg): 90.00 90.00 120.00
Space group R3m (No. 160, hexagonal axes)
Unique sites:
Sc (0.0000, 0.0000, 0.0000)
In (0.0000, 0.0000, 0.3728)
In (0.0000, 0.0000, 0.4983)
In (0.0000, 0.0000, 0.8770)
Cu (0.0000, 0.0000, 0.1867)
Cu (0.0000, 0.0000, 0.6869)
Cu (0.0001, 0.5000, 0.4365)
Cu (0.9998, 0.4999, 0.9372)

***

Sc6InCu5 | PBE | optimized geometry

Fermi-level density of states = 0.63 states/eV/atom
Electronic total energy = -5.3852 eV/atom

a b c (Å): 4.653 6.753 7.358
angles (deg): 90.00 108.45 90.00
Space group P2/m (No. 10)
Unique sites:
Sc (0.000, 0.231, 0.000)
Sc (0.328, 0.242, 0.655)
In (0.500, 0.500, 0.000)
Cu (0.159, 0.500, 0.318)
Cu (0.164, 0.000, 0.331)
Cu (0.500, 0.000, 0.000)

***

Sc2InCu2 | PBE | optimized geometry

Fermi-level density of states = 0.79 states/eV/atom
Electronic total energy = -4.8354 eV/atom

a b c (Å): 3.353 3.353 17.440
angles (deg): 90.00 90.00 90.00
Space group I4/mmm (No. 139)
Unique sites:
Sc (0.000, 0.000, 0.119)
In (0.000, 0.000, 0.500)
Cu (0.000, 0.500, 0.250)

***

Sc2In3Cu | PBE | optimized geometry

Fermi-level density of states = 0.64 states/eV/atom
Electronic total energy = -4.4556 eV/atom

a b c (Å): 3.327 4.693 8.216
angles (deg): 90.00 90.00 90.00
Space group Pmm2 (No. 25)
Unique sites:
Sc (0.000, 0.000, 0.000)
Sc (0.000, 0.500, 0.483)
In (0.500, 0.000, 0.629)
In (0.500, 0.500, 0.173)
In (0.500, 0.500, 0.826)
Cu (0.500, 0.000, 0.312)

***

ScIn2Cu2 | PBE | optimized geometry

Fermi-level density of states = 0.56 states/eV/atom
Electronic total energy = -4.0675 eV/atom
E above lowest polymorph = 35 meV/atom

a b c (Å): 4.192 4.192 11.159
angles (deg): 90.00 90.00 90.00
Space group I4/mmm (No. 139)
Unique sites:
Sc (0.000, 0.000, 0.000)
In (0.000, 0.500, 0.250)
Cu (0.000, 0.000, 0.397)

***

ScIn2Cu2 | PBE | optimized geometry

Fermi-level density of states = 0.60 states/eV/atom
Electronic total energy = -3.9791 eV/atom
E above lowest polymorph = 123 meV/atom

a b c (Å): 7.869 7.869 3.058
angles (deg): 90.00 90.00 90.00
Space group P4/mbm (No. 127)
Unique sites:
Sc (0.000, 0.000, 0.000)
In (0.136, 0.364, 0.000)
Cu (0.165, 0.665, 0.500)

***

Sc2InCu2 | PBE | optimized geometry

Fermi-level density of states = 1.08 states/eV/atom
Electronic total energy = -4.7901 eV/atom

a b c (Å): 7.813 7.813 3.201
angles (deg): 90.00 90.00 90.00
Space group P4/mbm (No. 127)
Unique sites:
Sc (0.153, 0.347, 0.000)
In (0.000, 0.000, 0.000)
Cu (0.132, 0.632, 0.500)

***

Sc3InCu2 | PBE | optimized geometry

Fermi-level density of states = 0.58 states/eV/atom
Electronic total energy = -5.3232 eV/atom

a b c (Å): 3.275 3.275 10.681
angles (deg): 90.00 90.00 90.00
Space group P4/mmm (No. 123)
Unique sites:
Sc (0.000, 0.000, 0.000)
Sc (0.000, 0.000, 0.304)
In (0.500, 0.500, 0.500)
Cu (0.500, 0.500, 0.152)

***

ScInCu | PBE | optimized geometry

Fermi-level density of states = 0.38 states/eV/atom
Electronic total energy = -4.7483 eV/atom

a b c (Å): 13.088 3.464 7.539
angles (deg): 90.00 90.00 90.00
Space group Pmma (No. 51)
Unique sites:
Sc (0.052, 0.000, 0.213)
Sc (0.250, 0.000, 0.825)
In (0.110, 0.500, 0.569)
In (0.250, 0.500, 0.159)
Cu (0.089, 0.500, 0.932)
Cu (0.250, 0.000, 0.432)

***

Sc2InCu2 | PBE | optimized geometry

Fermi-level density of states = 0.67 states/eV/atom
Electronic total energy = -5.1009 eV/atom

a b c (Å): 7.250 7.250 3.481
angles (deg): 90.00 90.00 90.00
Space group P4/mbm (No. 127)
Unique sites:
Sc (0.167, 0.333, 0.000)
In (0.000, 0.000, 0.500)
Cu (0.124, 0.624, 0.500)

***

ScIn3Cu | PBE | optimized geometry

Fermi-level density of states = 1.22 states/eV/atom
Electronic total energy = -2.8707 eV/atom
E above lowest polymorph = 676 meV/atom

a b c (Å): 5.593 5.593 5.593
angles (deg): 90.00 90.00 90.00
Space group Pm-3m (No. 221)
Unique sites:
Sc (0.000, 0.000, 0.000)
In (0.000, 0.000, 0.500)
Cu (0.500, 0.500, 0.500)

***

Fermi-level density of states of number 12 (ScIn3Cu)?
1.22 states/eV/atom